Record 1
Compound: NbTl2O
Source: Alexandria via LeMat-Bulk
Functional: PBE
Structure: optimized geometry

Values from the calculation:
excess energy over the best structure of this formula in the dataset	0.000	eV per atom
total energy	-18.4	eV per formula unit
ΔE_f (raw)	32.87	kJ per mole of atoms
calculated volume	19.63	Å³/atom
density of states at the Fermi level	6.10	states/eV per cell
total magnetization	1.77	μB per cell

abc: 7.201 7.201 5.925
angles: 52.58 52.58 90.00
Fractional positions:
Tl 0.181 0.625 0.250
Nb 0.750 0.250 0.500
O 0.500 0.500 0.000
Nb 0.000 0.000 0.000
O 0.250 0.750 0.500
Tl 0.375 0.431 0.750
Tl 0.569 0.125 0.250
Tl 0.875 0.819 0.750

---

Record 2
Compound: NbTlO3
Source: Alexandria via LeMat-Bulk
Functional: PBE
Structure: optimized geometry

Values from the calculation:
total energy	-32.2	eV per formula unit
ΔE_f (raw)	-94.96	kJ per mole of atoms
calculated volume	15.11	Å³/atom
density of states at the Fermi level	2.32	states/eV per cell
total magnetization	0.00	μB per cell

abc: 8.282 8.282 5.251
angles: 90.00 90.00 155.20
Fractional positions:
Tl 0.173 0.827 0.250
O 0.059 0.348 0.250
O 0.652 0.941 0.250
O 0.000 0.000 0.500
O 0.000 0.000 0.000
Nb 0.464 0.536 0.250
O 0.348 0.059 0.750
Tl 0.827 0.173 0.750
Nb 0.536 0.464 0.750
O 0.941 0.652 0.750

---

Record 3
Compound: NbTlO2
Source: Alexandria via LeMat-Bulk
Functional: PBE
Structure: optimized geometry

Values from the calculation:
excess energy over the best structure of this formula in the dataset	0.250	eV per atom
total energy	-27.7	eV per formula unit
ΔE_f (raw)	-128.01	kJ per mole of atoms
calculated volume	14.57	Å³/atom
density of states at the Fermi level	1.20	states/eV per cell
total magnetization	0.00	μB per cell

abc: 2.787 2.787 7.504
angles: 90.00 90.00 90.00
Fractional positions:
O 0.000 0.000 0.156
O 0.000 0.000 0.844
Tl 0.500 0.500 0.500
Nb 0.500 0.500 0.000

---

Among the records above, which one has the highest total energy? NbTl2O

---

What is the formula in the first record? NbTl2O

---

Which formula does entry 3 have? NbTlO2

---

Which of these has the lowest calculated volume? NbTlO2